This record from Alexandria via LeMat-Bulk describes a relaxed structure of PmSm3Sn3. The functional is PBE-GGA.

```
PmSm3Sn3
1.0
9.3917 0.0000 0.0000
-4.6958 8.1334 0.0000
0.0000 0.0000 5.4193
Pm Sm Sn
2 6 6
Cartesian
0.0000 5.4223 1.3548
4.6959 2.7111 4.0644
8.2587 1.9578 4.0644
-3.5629 6.1756 1.3548
2.2620 0.0023 4.0644
1.1290 1.9601 1.3548
2.4339 8.1312 1.3548
3.5668 6.1734 4.0644
-2.2196 5.0475 4.0644
1.4344 3.6874 4.0644
3.9106 0.6015 1.3548
0.7853 7.5319 4.0644
3.2615 4.4460 1.3548
6.9155 3.0859 1.3548
```

Results
**Formation enthalpy at 0 K**: -3.77 eV per formula unit
**Electronic total energy**: -4.9551 eV per atom
**Magnetization**: 0.00 Bohr magnetons per cell
**ρ**: 7.64 g/cm³
**Space-group type**: P6_3/m, No. 176
**Density of states at the Fermi level**: 12.48 states/eV/cell